1.
Entry from the Alexandria database: a relaxed structure of Ta2PPb (PBE).

The structure in POSCAR format:
```
Ta2PPb
1.0
-2.046 2.046 9.723
2.046 -2.046 9.723
2.046 2.046 -9.723
Ta P Pb
4 2 2
direct
0.108 0.625 0.983
0.375 0.358 0.483
0.642 0.125 0.017
0.875 0.892 0.517
0.000 0.000 0.000
0.750 0.250 0.500
0.250 0.750 0.500
0.500 0.500 0.000
```

Symmetry ... No. 122
Mass density ... 12246 kg/m³
E above lowest polymorph ... 707.6 meV/atom



2.
Entry from the Alexandria database: a relaxed structure of TaPPb2 (PBE).

The structure in POSCAR format:
```
TaPPb2
1.0
-2.149 2.149 4.856
2.149 -2.149 4.856
2.149 2.149 -4.856
Ta P Pb
1 1 2
direct
0.000 0.000 0.000
0.250 0.750 0.500
0.500 0.500 0.000
0.750 0.250 0.500
```

Symmetry ... No. 119
Mass density ... 11590 kg/m³



| no. | DFT formation energy (eV per atom) |
| --- | --- |
| 1 | 0.57 |
| 2 | 0.74 |